No. 1
LiCCl6 | PBE | optimized geometry

**Formation energy without anion corrections**: 0.0 eV/f.u.
**SG**: P-1 (2)

Unit cell a=5.684 b=7.945 c=4.717 alpha=88.78 beta=87.67 gamma=81.82
Positions (direct):
Cl 0.207 0.037 0.184
Cl 0.564 0.219 0.386
Cl 0.002 0.475 0.753
Cl 0.436 0.781 0.614
Cl 0.998 0.525 0.247
Li 0.500 0.500 0.500
Cl 0.793 0.963 0.816
C 0.000 0.000 0.000

***

No. 2
Li2CNCl | PBE | optimized geometry

**Formation energy without anion corrections**: 7.5 eV/f.u.
**SG**: P4/mmm (123)

Unit cell a=4.421 b=4.122 c=4.421 alpha=90.00 beta=90.00 gamma=90.00
Positions (direct):
C 0.500 0.500 0.500
Cl 0.000 0.000 0.000
N 0.000 0.500 0.000
Li 0.000 0.000 0.500
Li 0.500 0.000 0.000

***

No. 3
NaLi2CCl | PBE | optimized geometry

**Formation energy without anion corrections**: 1.1 eV/f.u.
**SG**: P4/mmm (123)

Unit cell a=4.078 b=5.494 c=4.078 alpha=90.00 beta=90.00 gamma=90.00
Positions (direct):
Li 0.500 0.000 0.000
Na 0.500 0.500 0.500
Li 0.000 0.000 0.500
Cl 0.000 0.500 0.000
C 0.000 0.000 0.000

***

No. 4
LiP2CCl | PBE | optimized geometry

**Formation energy without anion corrections**: 9.3 eV/f.u.
**SG**: P4/mmm (123)
**Relative energy among the computed polymorphs**: 1457 meV per atom

Unit cell a=4.412 b=4.412 c=4.369 alpha=90.00 beta=90.00 gamma=90.00
Positions (direct):
P 0.500 0.000 0.000
Cl 0.000 0.000 0.500
P 0.000 0.500 0.000
C 0.500 0.500 0.500
Li 0.000 0.000 0.000

***

No. 5
LiP2CCl | PBE | optimized geometry

**Formation energy without anion corrections**: 2.0 eV/f.u.
**SG**: P4/mmm (123)
**Relative energy among the computed polymorphs**: 0 meV per atom

Unit cell a=3.724 b=3.724 c=8.202 alpha=90.00 beta=90.00 gamma=90.00
Positions (direct):
Cl 0.000 0.000 0.500
P 0.500 0.000 0.000
P 0.000 0.500 0.000
Li 0.500 0.500 0.500
C 0.000 0.000 0.000

***

No. 6
LiPCCl2 | PBE | optimized geometry

**Formation energy without anion corrections**: 7.3 eV/f.u.
**SG**: P4/mmm (123)
**Relative energy among the computed polymorphs**: 1000 meV per atom

Unit cell a=4.248 b=4.248 c=5.287 alpha=90.00 beta=90.00 gamma=90.00
Positions (direct):
P 0.000 0.000 0.500
Li 0.000 0.000 0.000
Cl 0.500 0.000 0.000
Cl 0.000 0.500 0.000
C 0.500 0.500 0.500

***

No. 7
LiPCCl2 | PBE | optimized geometry

**Formation energy without anion corrections**: 2.3 eV/f.u.
**SG**: P4/mmm (123)
**Relative energy among the computed polymorphs**: 0 meV per atom

Unit cell a=5.311 b=5.311 c=3.475 alpha=90.00 beta=90.00 gamma=90.00
Positions (direct):
C 0.000 0.000 0.000
P 0.000 0.000 0.500
Li 0.500 0.500 0.500
Cl 0.000 0.500 0.000
Cl 0.500 0.000 0.000

***

No. 8
Rb2LiCCl6 | PBE | optimized geometry

**Formation energy without anion corrections**: -6.7 eV/f.u.
**SG**: I4/mmm (139)

Unit cell a=7.145 b=7.145 c=6.797 alpha=58.29 beta=58.29 gamma=90.00
Positions (direct):
Rb 0.250 0.750 0.500
Rb 0.750 0.250 0.500
Cl 0.758 0.758 0.485
Li 0.500 0.500 0.000
C 0.000 0.000 0.000
Cl 0.777 0.777 0.000
Cl 0.223 0.777 0.000
Cl 0.223 0.223 0.000
Cl 0.242 0.242 0.515
Cl 0.777 0.223 0.000

***

No. 9
Li2ReCCl | PBE | optimized geometry

**Formation energy without anion corrections**: 7.2 eV/f.u.
**SG**: P4/mmm (123)

Unit cell a=3.645 b=5.891 c=3.645 alpha=90.00 beta=90.00 gamma=90.00
Positions (direct):
Li 0.500 0.000 0.000
Re 0.500 0.500 0.500
Cl 0.000 0.000 0.000
Li 0.000 0.000 0.500
C 0.000 0.500 0.000

***

No. 10
LiCSCl2 | PBE | optimized geometry

**Formation energy without anion corrections**: 2.1 eV/f.u.
**SG**: P4/mmm (123)
**Relative energy among the computed polymorphs**: 0 meV per atom

Unit cell a=5.140 b=5.140 c=3.640 alpha=90.00 beta=90.00 gamma=90.00
Positions (direct):
C 0.000 0.000 0.000
S 0.000 0.000 0.500
Cl 0.000 0.500 0.000
Cl 0.500 0.000 0.000
Li 0.500 0.500 0.500

***

No. 11
LiCSCl2 | PBE | optimized geometry

**Formation energy without anion corrections**: 6.9 eV/f.u.
**SG**: P4/mmm (123)
**Relative energy among the computed polymorphs**: 954 meV per atom

Unit cell a=4.380 b=4.380 c=5.023 alpha=90.00 beta=90.00 gamma=90.00
Positions (direct):
C 0.500 0.500 0.500
Li 0.000 0.000 0.000
Cl 0.500 0.000 0.000
S 0.000 0.000 0.500
Cl 0.000 0.500 0.000

***

No. 12
LiSiCCl2 | PBE | optimized geometry

**Formation energy without anion corrections**: 5.4 eV/f.u.
**SG**: P4/mmm (123)

Unit cell a=4.690 b=4.020 c=4.690 alpha=90.00 beta=90.00 gamma=90.00
Positions (direct):
C 0.000 0.000 0.000
Cl 0.000 0.000 0.500
Si 0.500 0.500 0.500
Cl 0.500 0.000 0.000
Li 0.000 0.500 0.000

***

No. 13
LiZrC2Cl | PBE | optimized geometry

**Formation energy without anion corrections**: 6.4 eV/f.u.
**SG**: P4/mmm (123)

Unit cell a=3.857 b=4.188 c=3.857 alpha=90.00 beta=90.00 gamma=90.00
Positions (direct):
Cl 0.000 0.500 0.000
Li 0.000 0.000 0.000
C 0.000 0.000 0.500
C 0.500 0.000 0.000
Zr 0.500 0.500 0.500

***

Going through the records in order, we get uncorrected energy values of -2.775; -3.143; -3.032; -2.907; -4.364; -2.582; -3.582; -3.085; -4.024; -3.375; -2.421; -2.975; -4.868 eV/atom.
Going through the records in order, we get N(E_F) values of 2.5; 1.6; 2.4; 5.3; 2.1; 4.3; 4.8; 5.1; 1.9; 3.7; 6.2; 4.1; 2.4 states/eV/cell.